DFT (GGA-PBE) results for crystalline Tb5Sm2Ho4 at its relaxed geometry.

DFT formation energy = 0.05 eV/atom
total energy = -4.581 eV per atom
SG = No. 2
polymorph energy (0 for the lowest one) = 0.0 meV per atom
spin magnetization = 0.00 μB per formula unit

Lattice parameters (Å, degrees): 3.5300 8.7742 11.6826 95.25 90.03 101.60
With the nearest neighbours (Å) after each atom.
Fractional coordinates of all 11 atoms:
Tb1 0.0000 0.0000 0.0000  2 Sm 3.34, 6 Tb 3.53-3.74, 4 Ho 3.58
Tb2 0.0923 0.1858 0.5431  1 Sm 3.18, 3 Tb 3.26-3.53, 1 Ho 3.41
Tb3 0.4596 0.9189 0.7188  8 Tb 3.53-3.74, 3 Ho 3.55-3.75, 2 Sm 3.60
Tb4 0.5404 0.0811 0.2812  8 Tb 3.53-3.74, 3 Ho 3.55-3.75, 2 Sm 3.60
Tb5 0.9077 0.8142 0.4569  1 Sm 3.18, 3 Tb 3.26-3.53, 1 Ho 3.41
Sm1 0.1359 0.2728 0.8138  2 Tb 3.18-3.34, 3 Ho 3.32-3.53, 2 Sm 3.53
Sm2 0.8641 0.7272 0.1862  2 Tb 3.18-3.34, 3 Ho 3.32-3.53, 2 Sm 3.53
Ho1 0.2324 0.4632 0.3529  5 Tb 3.41-3.75, 4 Ho 3.53-3.75, 2 Sm 3.59
Ho2 0.3207 0.6420 0.9265  3 Sm 3.32-3.53, 4 Ho 3.53-3.58, 3 Tb 3.55-3.58
Ho3 0.6793 0.3580 0.0735  3 Sm 3.32-3.53, 4 Ho 3.53-3.58, 3 Tb 3.55-3.58
Ho4 0.7676 0.5368 0.6471  5 Tb 3.41-3.75, 4 Ho 3.53-3.75, 2 Sm 3.59


DFT (GGA-PBE) results for crystalline CdTeWC2 at its relaxed geometry.

total energy = -4.101 eV per atom
SG = No. 123
spin magnetization = 0.04 μB per formula unit
E_form (uncorrected) = 14.95 eV/f.u.

Lattice parameters (Å, degrees): 4.1342 4.1342 5.5721 90.00 90.00 90.00
With the nearest neighbours (Å) after each atom.
Fractional coordinates of all 5 atoms:
Cd1 0.0000 0.0000 0.0000  4 C 2.07
Te1 0.5000 0.5000 0.5000  4 W 2.92
W1 0.0000 0.0000 0.5000  2 Cd 2.79, 4 Te 2.92
C1 0.0000 0.5000 0.0000  2 Cd 2.07
C2 0.5000 0.0000 0.0000  2 Cd 2.07


DFT (GGA-PBE) results for crystalline KTaNbS3 at its relaxed geometry.

total energy = -6.934 eV per atom
SG = No. 11
spin magnetization = 0.00 μB per formula unit
E_form (uncorrected) = -6.20 eV/f.u.

Lattice parameters (Å, degrees): 8.4875 3.5195 9.7505 90.00 113.76 90.00
With the nearest neighbours (Å) after each atom.
Fractional coordinates of all 12 atoms:
K1 0.2324 0.2500 0.2471  7 S 3.17-3.35, 2 K 3.52
K2 0.7676 0.7500 0.7529  7 S 3.17-3.35, 2 K 3.52
Ta1 0.3125 0.7500 0.8364  6 S 2.52-2.70
Ta2 0.6875 0.2500 0.1636  6 S 2.52-2.70
Nb1 0.0901 0.2500 0.6112  4 S 2.48-2.68, 2 Nb 2.73
Nb2 0.9099 0.7500 0.3888  4 S 2.48-2.68, 2 Nb 2.73
S1 0.1219 0.2500 0.8764  1 Nb 2.49, 2 Ta 2.52
S2 0.2520 0.7500 0.5426  3 Nb 2.48-2.68, 1 Ta 2.70
S3 0.4578 0.7500 0.1238  3 Ta 2.54-2.57
S4 0.5422 0.2500 0.8762  3 Ta 2.54-2.57
S5 0.7480 0.2500 0.4574  3 Nb 2.48-2.68, 1 Ta 2.70
S6 0.8781 0.7500 0.1236  1 Nb 2.49, 2 Ta 2.52


DFT (GGA-PBE) results for crystalline InTe2As2 at its relaxed geometry.

total energy = -3.504 eV per atom
SG = No. 127
polymorph energy (0 for the lowest one) = 68.8 meV per atom
spin magnetization = 0.00 μB per formula unit
E_form (uncorrected) = 0.80 eV/f.u.

Lattice parameters (Å, degrees): 8.9261 8.9261 3.7260 90.00 90.00 90.00
With the nearest neighbours (Å) after each atom.
Fractional coordinates of all 10 atoms:
In1 0.0000 0.0000 0.0000  4 Te 3.37, 2 In 3.73, 8 As 3.73
In2 0.5000 0.5000 0.0000  4 Te 3.37, 2 In 3.73, 8 As 3.73
Te1 0.1569 0.3431 0.0000  2 As 2.66
Te2 0.3431 0.8431 0.0000  2 As 2.66
Te3 0.6569 0.1569 0.0000  2 As 2.66
Te4 0.8431 0.6569 0.0000  2 As 2.66
As1 0.1932 0.6932 0.5000  2 Te 2.66
As2 0.3068 0.1932 0.5000  2 Te 2.66
As3 0.6932 0.8068 0.5000  2 Te 2.66
As4 0.8068 0.3068 0.5000  2 Te 2.66


DFT (GGA-PBE) results for crystalline HoUB at its relaxed geometry.

DFT formation energy = 0.30 eV/atom
total energy = -7.219 eV per atom
SG = No. 31
spin magnetization = 1.33 μB per formula unit

Lattice parameters (Å, degrees): 3.5193 6.2324 5.7035 90.00 90.00 90.00
With the nearest neighbours (Å) after each atom.
Fractional coordinates of all 6 atoms:
Ho1 0.0000 0.0213 0.0000  3 B 2.58
Ho2 0.5000 0.9787 0.5000  3 B 2.58
U1 0.0000 0.5073 0.3002  3 B 2.43-2.49
U2 0.5000 0.4927 0.8002  3 B 2.43-2.49
B1 0.0000 0.2575 0.6282  3 U 2.43-2.49, 3 Ho 2.58
B2 0.5000 0.7425 0.1282  3 U 2.43-2.49, 3 Ho 2.58


DFT (GGA-PBE) results for crystalline CoSi2Sb at its relaxed geometry.

total energy = -5.497 eV per atom
SG = No. 8
spin magnetization = 0.00 μB per formula unit
E_form (uncorrected) = 0.09 eV/f.u.

Lattice parameters (Å, degrees): 7.2813 3.6364 5.7395 90.00 111.00 90.00
With the nearest neighbours (Å) after each atom.
Fractional coordinates of all 8 atoms:
Co1 0.0000 0.0000 0.0000  5 Si 2.24-2.36
Co2 0.5000 0.5000 0.0000  5 Si 2.24-2.36
Si1 0.1937 0.5000 0.0047  3 Co 2.24-2.30
Si2 0.4386 0.0000 0.2238  2 Co 2.36, 3 Si 2.54-2.59
Si3 0.6937 0.0000 0.0047  3 Co 2.24-2.30
Si4 0.9386 0.5000 0.2238  2 Co 2.36, 3 Si 2.54-2.59
Sb1 0.3326 0.0000 0.6296  2 Si 2.70-2.74, 2 Co 2.73
Sb2 0.8326 0.5000 0.6296  2 Si 2.70-2.74, 2 Co 2.73


DFT (GGA-PBE) results for crystalline Rb4CuCl5 at its relaxed geometry.

total energy = -3.265 eV per atom
SG = No. 79
spin magnetization = 0.12 μB per formula unit
E_form (uncorrected) = -15.45 eV/f.u.

Lattice parameters (Å, degrees): 7.8174 7.8174 7.8174 100.42 100.42 129.68
With the nearest neighbours (Å) after each atom.
Fractional coordinates of all 10 atoms:
Rb1 0.0945 0.7026 0.7971  5 Cl 3.17-3.38
Rb2 0.2974 0.0945 0.3919  5 Cl 3.17-3.38
Rb3 0.7026 0.9055 0.6081  5 Cl 3.17-3.38
Rb4 0.9055 0.2974 0.2029  5 Cl 3.17-3.38
Cu1 0.4220 0.4220 0.0000  1 Cl 2.27
Cl1 0.0801 0.0801 0.0000  1 Cu 2.27
Cl2 0.2456 0.4203 0.6574  1 Cu 2.78
Cl3 0.4203 0.7629 0.1747  1 Cu 2.78
Cl4 0.5882 0.2456 0.8253  1 Cu 2.78
Cl5 0.7629 0.5882 0.3426  1 Cu 2.78


DFT (GGA-PBE) results for crystalline LaZrB at its relaxed geometry.

DFT formation energy = -0.09 eV/atom
total energy = -6.803 eV per atom
SG = No. 123
polymorph energy (0 for the lowest one) = 269.9 meV per atom
spin magnetization = 0.00 μB per formula unit

Lattice parameters (Å, degrees): 3.4748 3.4748 5.5132 90.00 90.00 90.00
With the nearest neighbours (Å) after each atom.
Fractional coordinates of all 3 atoms:
La1 0.0000 0.0000 0.0000  2 B 2.76
Zr1 0.5000 0.5000 0.5000  4 B 2.46
B1 0.0000 0.0000 0.5000  4 Zr 2.46


DFT (GGA-PBE) results for crystalline ReTc2F2 at its relaxed geometry.

total energy = -6.937 eV per atom
SG = No. 139
polymorph energy (0 for the lowest one) = 170.2 meV per atom
spin magnetization = 0.00 μB per formula unit
E_form (uncorrected) = 2.24 eV/f.u.

Lattice parameters (Å, degrees): 4.1026 4.1026 7.7339 90.00 90.00 90.00
With the nearest neighbours (Å) after each atom.
Fractional coordinates of all 10 atoms:
Re1 0.0000 0.0000 0.0000  8 Tc 2.82, 10 F 2.83-3.08
Re2 0.5000 0.5000 0.5000  8 Tc 2.82, 10 F 2.83-3.08
Tc1 0.0000 0.5000 0.2500  4 F 2.24
Tc2 0.0000 0.5000 0.7500  4 F 2.24
Tc3 0.5000 0.0000 0.2500  4 F 2.24
Tc4 0.5000 0.0000 0.7500  4 F 2.24
F1 0.0000 0.0000 0.3655  1 F 2.08, 4 Tc 2.24
F2 0.0000 0.0000 0.6345  1 F 2.08, 4 Tc 2.24
F3 0.5000 0.5000 0.1345  1 F 2.08, 4 Tc 2.24
F4 0.5000 0.5000 0.8655  1 F 2.08, 4 Tc 2.24


DFT (GGA-PBE) results for crystalline VCrGa2 at its relaxed geometry.

DFT formation energy = -0.05 eV/atom
total energy = -6.251 eV per atom
SG = No. 123
polymorph energy (0 for the lowest one) = 0.0 meV per atom
spin magnetization = 1.44 μB per formula unit

Lattice parameters (Å, degrees): 3.7553 3.7553 3.9512 90.00 90.00 90.00
With the nearest neighbours (Å) after each atom.
Fractional coordinates of all 4 atoms:
V1 0.0000 0.0000 0.0000  4 Cr 2.66, 8 Ga 2.73
Cr1 0.5000 0.5000 0.0000  4 V 2.66, 8 Ga 2.73
Ga1 0.0000 0.5000 0.5000  4 Ga 2.66, 4 Cr 2.73, 4 V 2.73
Ga2 0.5000 0.0000 0.5000  4 Ga 2.66, 4 Cr 2.73, 4 V 2.73


DFT (GGA-PBE) results for crystalline ZnCdPt at its relaxed geometry.

DFT formation energy = -0.32 eV/atom
total energy = -3.059 eV per atom
SG = No. 187
spin magnetization = 0.00 μB per formula unit

Lattice parameters (Å, degrees): 4.4538 4.4538 2.9561 90.00 90.00 120.00
With the nearest neighbours (Å) after each atom.
Fractional coordinates of all 3 atoms:
Zn1 0.0000 0.0000 0.0000  3 Pt 2.57
Cd1 0.6667 0.3333 0.5000  2 Cd 2.96, 6 Zn 2.97, 6 Pt 2.97
Pt1 0.3333 0.6667 0.0000  3 Zn 2.57


DFT (GGA-PBE) results for crystalline Li2ReSi at its relaxed geometry.

total energy = -5.377 eV per atom
SG = No. 25
spin magnetization = 0.00 μB per formula unit
E_form (uncorrected) = 0.19 eV/f.u.

Lattice parameters (Å, degrees): 2.6134 3.9588 5.4608 90.00 90.00 90.00
With the nearest neighbours (Å) after each atom.
Fractional coordinates of all 4 atoms:
Li1 0.0000 0.0000 0.0000  6 Li 2.61-2.68, 2 Re 2.66-2.80, 4 Si 2.91
Li2 0.5000 0.5000 0.2290  1 Si 2.53, 6 Li 2.61-2.68
Re1 0.0000 0.0000 0.5135  4 Si 2.56, 2 Re 2.61, 6 Li 2.66-2.84
Si1 0.5000 0.5000 0.6922  1 Li 2.53, 4 Re 2.56, 2 Si 2.61


DFT (GGA-PBE) results for crystalline TiAl2Ni3 at its relaxed geometry.

DFT formation energy = -0.62 eV/atom
total energy = -6.076 eV per atom
SG = No. 164
polymorph energy (0 for the lowest one) = 0.0 meV per atom
spin magnetization = 0.00 μB per formula unit

Lattice parameters (Å, degrees): 4.1437 4.1437 10.1550 90.00 90.00 120.00
With the nearest neighbours (Å) after each atom.
Fractional coordinates of all 12 atoms:
Ti1 0.3333 0.6667 0.1652  8 Ni 2.51-2.59
Ti2 0.6667 0.3333 0.8348  8 Ni 2.51-2.59
Al1 0.0000 0.0000 0.0000  8 Ni 2.56
Al2 0.0000 0.0000 0.5000  8 Ni 2.52-2.54
Al3 0.3333 0.6667 0.6640  8 Ni 2.50-2.54
Al4 0.6667 0.3333 0.3360  8 Ni 2.50-2.54
Ni1 0.0000 0.0000 0.2519  5 Al 2.52-2.56, 3 Ti 2.55
Ni2 0.0000 0.0000 0.7481  5 Al 2.52-2.56, 3 Ti 2.55
Ni3 0.3333 0.6667 0.4165  7 Al 2.51-2.54, 1 Ti 2.55
Ni4 0.3333 0.6667 0.9099  4 Al 2.50-2.56, 4 Ti 2.51-2.59
Ni5 0.6667 0.3333 0.0901  4 Al 2.50-2.56, 4 Ti 2.51-2.59
Ni6 0.6667 0.3333 0.5835  7 Al 2.51-2.54, 1 Ti 2.55


DFT (GGA-PBE) results for crystalline Tl3GeH at its relaxed geometry.

total energy = -2.688 eV per atom
SG = No. 221
polymorph energy (0 for the lowest one) = 0.0 meV per atom
spin magnetization = 0.00 μB per formula unit

Lattice parameters (Å, degrees): 4.9099 4.9099 4.9099 90.00 90.00 90.00
With the nearest neighbours (Å) after each atom.
Fractional coordinates of all 5 atoms:
Tl1 0.0000 0.0000 0.5000  2 H 2.45
Tl2 0.0000 0.5000 0.0000  2 H 2.45
Tl3 0.5000 0.0000 0.0000  2 H 2.45
Ge1 0.5000 0.5000 0.5000  12 Tl 3.47
H1 0.0000 0.0000 0.0000  6 Tl 2.45